Record 1
RePb after structural relaxation. Source: Alexandria, functional GGA-PBE.

The structure in POSCAR format:
```
RePb
1.0
-3.915 -1.698 3.293
0.376 -4.948 -2.104
3.685 -1.298 3.712
Pb Re
4 4
Cartesian
3.199 -4.271 2.425
-1.638 -5.615 0.393
0.060 -3.230 1.993
-1.327 -2.771 4.992
-1.815 -5.041 3.070
0.017 -0.896 0.553
1.076 -5.843 1.683
1.017 -4.108 4.497
```

The formation energy is 1.1999 eV/atom. Its energy above the lowest structure with this stoichiometry is 0.8157 eV per atom. The space-group type is P2_13.



Record 2
RePb after structural relaxation. Source: Alexandria, functional GGA-PBE.

The structure in POSCAR format:
```
RePb
1.0
-3.201 -1.992 -9.319
0.982 -0.035 10.005
-2.041 2.303 0.209
Re Pb
2 2
Cartesian
-0.721 -0.018 4.546
-3.538 0.293 -3.651
-4.315 -0.070 -7.238
0.056 0.346 8.133
```

The formation energy is 0.3923 eV/atom. Its energy above the lowest structure with this stoichiometry is 0.0082 eV per atom. The space-group type is Cmcm.



Record 3
RePb after structural relaxation. Source: Alexandria, functional GGA-PBE.

The structure in POSCAR format:
```
RePb
1.0
-0.768 5.719 2.299
0.720 -2.218 5.757
5.296 0.846 -0.336
Pb Re
4 4
Cartesian
-0.038 2.809 6.464
-0.009 0.692 1.592
2.918 0.605 4.544
2.330 3.743 3.176
0.168 0.726 4.475
-0.216 2.775 3.582
2.642 0.875 0.872
2.606 3.473 6.848
```

The formation energy is 1.3366 eV/atom. Its energy above the lowest structure with this stoichiometry is 0.9524 eV per atom. The space-group type is P4_2/mnm.



Record 4
RePb after structural relaxation. Source: Alexandria, functional GGA-PBE.

The structure in POSCAR format:
```
RePb
1.0
4.538 0.000 0.000
0.000 3.198 0.000
0.000 0.000 7.161
Pb Re
2 2
Cartesian
0.000 0.000 6.745
0.000 1.599 2.803
2.269 1.599 5.657
2.269 0.000 3.891
```

The formation energy is 0.9773 eV/atom. Its energy above the lowest structure with this stoichiometry is 0.5931 eV per atom. The space-group type is Pmma.



> Which value of energy above the lowest structure with this stoichiometry does entry 1 give?

0.8157 eV per atom



> Among the records above, which one has the lowest energy above the lowest structure with this stoichiometry?

number 2



> energy above the lowest structure with this stoichiometry of number 2 (RePb)?

0.0082 eV per atom



> energy above the lowest structure with this stoichiometry of number 2 (RePb)?

0.0082 eV per atom